First-principles (PBE-GGA) data for crystalline Mg2TlSb at its relaxed geometry, as listed in Alexandria via LeMat-Bulk.

a b c (Å): 8.043 8.043 6.657
angles (deg): 52.84 52.84 90.00
Element x y z (fractional)
Mg 0.875 0.851 0.750
Sb 0.500 0.500 0.000
Sb 0.250 0.750 0.500
Mg 0.601 0.125 0.250
Tl 0.750 0.250 0.500
Tl 0.000 0.000 0.000
Mg 0.375 0.399 0.750
Mg 0.149 0.625 0.250

Calculated values
VASP energy: -2.416 eV/atom
formation energy without anion corrections: 0.01 eV per formula unit